Entry 1:
# PBE NaPbSO4, relaxed
data_NaPbSO4
_chemical_formula_sum 'Na2 Pb2 S2 O8'
_cell_length_a 4.922
_cell_length_b 5.722
_cell_length_c 8.727
_cell_angle_alpha 90.00
_cell_angle_beta 103.05
_cell_angle_gamma 90.00
_space_group_name_H-M_alt 'P 1'
_space_group_IT_number 1
loop_
_space_group_symop_operation_xyz
'x,y,z'
loop_
_atom_site_label
_atom_site_fract_x
_atom_site_fract_y
_atom_site_fract_z
O1 0.118 0.963 0.235
O2 0.723 0.250 0.518
O3 0.882 0.037 0.765
O4 0.277 0.750 0.482
O5 0.562 0.750 0.290
O6 0.882 0.463 0.765
O7 0.438 0.250 0.710
O8 0.118 0.537 0.235
Na1 0.830 0.750 0.562
Na2 0.170 0.250 0.438
Pb1 0.340 0.250 0.975
Pb2 0.660 0.750 0.025
S1 0.266 0.750 0.310
S2 0.734 0.250 0.690
# - ΔE_f (raw) (eV/atom) = -1.418
# - E_tot (eV for the cell shown) = -77.83
# - total magnetization (μB per cell) = 0.00
# - volume (Å³ per atom) = 17.1
# - symmetry = P2_1/m (11)
# - DOS at the Fermi energy (states/eV per atom) = 0.0620

***

Entry 2:
# PBE Na2PuAg2S4, relaxed
data_Na2PuAg2S4
_chemical_formula_sum 'Na2 Pu1 Ag2 S4'
_cell_length_a 4.031
_cell_length_b 7.535
_cell_length_c 7.752
_cell_angle_alpha 117.02
_cell_angle_beta 105.07
_cell_angle_gamma 90.00
_space_group_name_H-M_alt 'P 1'
_space_group_IT_number 1
loop_
_space_group_symop_operation_xyz
'x,y,z'
loop_
_atom_site_label
_atom_site_fract_x
_atom_site_fract_y
_atom_site_fract_z
S1 0.486 0.744 0.971
S2 0.206 0.210 0.413
S3 0.514 0.256 0.029
S4 0.794 0.790 0.587
Ag1 0.327 0.045 0.655
Ag2 0.673 0.955 0.345
Na1 0.849 0.453 0.698
Na2 0.151 0.547 0.302
Pu1 0.000 0.000 0.000
# - ΔE_f (raw) (eV/atom) = -0.902
# - E_tot (eV for the cell shown) = -47.30
# - total magnetization (μB per cell) = 4.00
# - volume (Å³ per atom) = 22.3
# - symmetry = C2/m (12)
# - DOS at the Fermi energy (states/eV per atom) = 0.9630

***

Entry 3:
# PBE HfZrOF2, relaxed
data_HfZrOF2
_chemical_formula_sum 'Hf1 Zr1 O1 F2'
_cell_length_a 4.328
_cell_length_b 4.328
_cell_length_c 4.097
_cell_angle_alpha 90.00
_cell_angle_beta 90.00
_cell_angle_gamma 90.00
_space_group_name_H-M_alt 'P 1'
_space_group_IT_number 1
loop_
_space_group_symop_operation_xyz
'x,y,z'
loop_
_atom_site_label
_atom_site_fract_x
_atom_site_fract_y
_atom_site_fract_z
F1 0.500 0.000 0.000
F2 0.000 0.500 0.000
O1 0.000 0.000 0.500
Hf1 0.000 0.000 0.000
Zr1 0.500 0.500 0.500
# - ΔE_f (raw) (eV/atom) = -1.822
# - E_tot (eV for the cell shown) = -36.31
# - total magnetization (μB per cell) = 3.67
# - volume (Å³ per atom) = 15.3
# - symmetry = P4/mmm (123)
# - DOS at the Fermi energy (states/eV per atom) = 0.6633
# - energy relative to the lowest polymorph listed for this composition (eV/atom) = 0.000

***

Entry 4:
# PBE DyHoIrAu, relaxed
data_DyHoIrAu
_chemical_formula_sum 'Dy1 Ho1 Ir1 Au1'
_cell_length_a 4.956
_cell_length_b 4.956
_cell_length_c 4.956
_cell_angle_alpha 60.00
_cell_angle_beta 60.00
_cell_angle_gamma 60.00
_space_group_name_H-M_alt 'P 1'
_space_group_IT_number 1
loop_
_space_group_symop_operation_xyz
'x,y,z'
loop_
_atom_site_label
_atom_site_fract_x
_atom_site_fract_y
_atom_site_fract_z
Au1 0.000 0.000 0.000
Dy1 0.250 0.250 0.250
Ho1 0.750 0.750 0.750
Ir1 0.500 0.500 0.500
# - E_tot (eV for the cell shown) = -24.67
# - total magnetization (μB per cell) = 0.00
# - E_form (kJ per mole of atoms) = -80.8
# - volume (Å³ per atom) = 21.5
# - symmetry = F-43m (216)
# - DOS at the Fermi energy (states/eV per atom) = 0.8636
# - energy relative to the lowest polymorph listed for this composition (eV/atom) = 0.014

***

Q: The highest volume belongs to which entry?
A: Na2PuAg2S4

***

Q: The lowest volume belongs to which entry?
A: HfZrOF2

***

What did the second record say?
# PBE Na2PuAg2S4, relaxed
data_Na2PuAg2S4
_chemical_formula_sum 'Na2 Pu1 Ag2 S4'
_cell_length_a 4.031
_cell_length_b 7.535
_cell_length_c 7.752
_cell_angle_alpha 117.02
_cell_angle_beta 105.07
_cell_angle_gamma 90.00
_space_group_name_H-M_alt 'P 1'
_space_group_IT_number 1
loop_
_space_group_symop_operation_xyz
'x,y,z'
loop_
_atom_site_label
_atom_site_fract_x
_atom_site_fract_y
_atom_site_fract_z
S1 0.486 0.744 0.971
S2 0.206 0.210 0.413
S3 0.514 0.256 0.029
S4 0.794 0.790 0.587
Ag1 0.327 0.045 0.655
Ag2 0.673 0.955 0.345
Na1 0.849 0.453 0.698
Na2 0.151 0.547 0.302
Pu1 0.000 0.000 0.000
# - ΔE_f (raw) (eV/atom) = -0.902
# - E_tot (eV for the cell shown) = -47.30
# - total magnetization (μB per cell) = 4.00
# - volume (Å³ per atom) = 22.3
# - symmetry = C2/m (12)
# - DOS at the Fermi energy (states/eV per atom) = 0.9630